Here is a relaxed LiSmRh2 crystal from the Alexandria database. Energies are from PBE.

Values from the calculation:
- Total moment: 0.00 μB per formula unit
- Final energy: -5.74 eV/atom
- Space-group type: No. 123
- Density of states at the Fermi level: 0.795 states/eV/atom
- Calculated formation energy: -1.636 eV per formula unit

Lattice parameters (Å, degrees): 3.866 4.220 4.220 90.00 90.00 90.00
Sites, in units of the cell vectors:
Rh1 0.000 0.000 0.500
Rh2 0.000 0.500 0.000
Sm1 0.500 0.500 0.500
Li1 0.500 0.000 0.000

***

Here is a relaxed LiSmRh crystal from the Alexandria database. Energies are from PBE.

Values from the calculation:
- Total moment: 0.00 μB per formula unit
- Final energy: -5.13 eV/atom
- Space-group type: No. 189
- Density of states at the Fermi level: 0.489 states/eV/atom
- Calculated formation energy: -1.420 eV per formula unit
- Energy relative to the lowest polymorph listed for this composition: 0 meV/atom

Lattice parameters (Å, degrees): 4.045 7.137 7.137 120.00 90.00 90.00
Sites, in units of the cell vectors:
Li1 0.000 0.766 0.766
Li2 0.000 0.000 0.234
Li3 0.000 0.234 0.000
Sm1 0.500 0.409 0.409
Sm2 0.500 0.000 0.591
Sm3 0.500 0.591 0.000
Rh1 0.000 0.333 0.667
Rh2 0.000 0.667 0.333
Rh3 0.500 0.000 0.000